{"formula": "InSbAs3", "functional": "PBE", "state": "relaxed", "relative_energy_ev_per_atom": 0.000, "total_magnetization_mub_per_fu": 0.00, "formation_energy_uncorrected_mev_per_atom": 747, "dos_at_fermi_per_ev_fu": 5.2, "lattice": [[5.323, 0.000, 0.000], [0.000, 5.323, 0.000], [0.000, 0.000, 5.323]], "species": ["In", "Sb", "As", "As", "As"], "fractional_positions": [[0.000, 0.000, 0.000], [0.500, 0.500, 0.500], [0.000, 0.500, 0.500], [0.500, 0.000, 0.500], [0.500, 0.500, 0.000]]}